# 1
## KNF5 (PBE-GGA)

Data for a relaxed KNF5 crystal.

## Properties
ρ, g/cm3: 1.84
E, eV/atom: -3.7541

a b c (Å): 5.141 5.147 10.322
angles (deg): 98.80 96.65 90.87
Space group P-1 (No. 2)
Symmetry-distinct sites (fractional):
K 0.000 0.000 0.000
K 0.500 0.500 0.000
N 0.219 0.682 0.372
F 0.022 0.527 0.099
F 0.113 0.927 0.353
F 0.276 0.714 0.510
F 0.473 0.710 0.333
F 0.477 0.969 0.901


# 2
## K2NF (PBE-GGA)

Data for a relaxed K2NF crystal.

## Properties
Excess energy over the best structure of this formula in the dataset, meV per atom: 0
ρ, g/cm3: 1.82
E, eV/atom: -3.6787

a b c (Å): 7.044 7.044 8.171
angles (deg): 90.00 90.00 90.00
Space group I-42d (No. 122)
Symmetry-distinct sites (fractional):
K 0.220 0.250 0.125
N 0.000 0.000 0.500
F 0.000 0.000 0.000


# 3
## KN3F (PBE-GGA)

Data for a relaxed KN3F crystal.

## Properties
ρ, g/cm3: 1.45
E, eV/atom: -2.9047

a b c (Å): 4.859 4.859 4.859
angles (deg): 90.00 90.00 90.00
Space group Pm-3m (No. 221)
Symmetry-distinct sites (fractional):
K 0.000 0.000 0.000
N 0.000 0.000 0.500
F 0.500 0.500 0.500


# 4
## KN4F (PBE-GGA)

Data for a relaxed KN4F crystal.

## Properties
ρ, g/cm3: 1.26
E, eV/atom: -3.3488

a b c (Å): 5.080 5.430 5.714
angles (deg): 84.62 78.08 78.50
Space group P1 (No. 1)
Symmetry-distinct sites (fractional):
K 0.000 0.000 0.000
N 0.248 0.160 0.395
N 0.329 0.459 0.816
N 0.692 0.538 0.171
N 0.777 0.836 0.592
F 0.505 0.984 0.992


# 5
## K2N2F (PBE-GGA)

Data for a relaxed K2N2F crystal.

## Properties
Excess energy over the best structure of this formula in the dataset, meV per atom: 0
ρ, g/cm3: 2.14
E, eV/atom: -5.2925

a b c (Å): 7.071 3.884 7.683
angles (deg): 90.00 112.75 90.00
Space group C2/m (No. 12)
Symmetry-distinct sites (fractional):
K 0.249 0.000 0.285
N 0.046 0.500 0.950
F 0.000 0.000 0.500


# 6
## K2NF (PBE-GGA)

Data for a relaxed K2NF crystal.

## Properties
Excess energy over the best structure of this formula in the dataset, meV per atom: 71
ρ, g/cm3: 2.37
E, eV/atom: -3.6072

a b c (Å): 6.777 6.777 6.777
angles (deg): 90.00 90.00 90.00
Space group Fm-3m (No. 225)
Symmetry-distinct sites (fractional):
K 0.250 0.250 0.250
N 0.000 0.000 0.000
F 0.000 0.000 0.500